Below is a relaxed structure of PrTlPd2, with properties calculated at the GGA-PBE level.

abc: 4.7997 6.9600 5.2880
angles: 90.00 90.00 90.00
Space group Pmmn (No. 59, origin choice 2)
Unique sites:
Pr (0.2500, 0.2500, 0.2004) x2
Tl (0.2500, 0.7500, 0.2612) x2
Pd (0.2500, 0.0278, 0.6858) x4

The uncorrected energy comes out at -19.83 eV per formula unit. Its formation energy is -0.57 eV/atom. The calculation puts the magnetization at 0.00 μB/cell.

=====

Below is a relaxed structure of Pm3Ga3Pt, with properties calculated at the GGA-PBE level.

abc: 3.8945 4.4600 19.3744
angles: 90.00 90.00 90.00
Space group Imm2 (No. 44)
Unique sites:
Pm (0.0000, 0.0000, 0.0000) x2
Pm (0.0000, 0.0000, 0.3725) x2
Pm (0.0000, 0.5000, 0.1937) x2
Ga (0.0000, 0.0000, 0.5488) x2
Ga (0.0000, 0.0000, 0.8316) x2
Ga (0.0000, 0.5000, 0.6267) x2
Pt (0.0000, 0.5000, 0.7577) x2

The uncorrected energy comes out at -34.67 eV per formula unit. Its formation energy is -0.76 eV/atom. The calculation puts the magnetization at 0.00 μB/cell.

=====

Below is a relaxed structure of Li2MgBiF8, with properties calculated at the GGA-PBE level.

abc: 4.7753 6.6625 4.7828
angles: 90.00 91.15 90.00
Space group P2/m (No. 10)
Unique sites:
Li (0.0000, 0.2035, 0.0000) x2
Mg (0.5000, 0.0000, 0.5000) x1
Bi (0.5000, 0.5000, 0.5000) x1
F (0.1811, 0.5000, 0.1783) x2
F (0.2101, 0.0000, 0.2079) x2
F (0.3005, 0.2399, 0.6965) x4

The uncorrected energy comes out at -56.46 eV per formula unit. The raw formation energy is -2.682 eV/atom. The calculation puts the magnetization at 0.00 μB/cell.

=====

Below is a relaxed structure of Er8Hg2Rh, with properties calculated at the GGA-PBE level.

abc: 17.4650 5.2055 6.7941
angles: 90.00 107.57 90.00
Space group C2/m (No. 12)
Unique sites:
Er (0.0237, 0.0000, 0.2829) x4
Er (0.0886, 0.5000, 0.9290) x4
Er (0.1534, 0.5000, 0.4578) x4
Er (0.1991, 0.0000, 0.8023) x4
Hg (0.1862, 0.0000, 0.2212) x4
Rh (0.0000, 0.5000, 0.5000) x2

The uncorrected energy comes out at -48.22 eV per formula unit. Its formation energy is -0.34 eV/atom. The calculation puts the magnetization at 0.00 μB/cell.

=====

Below is a relaxed structure of LaPm2Au, with properties calculated at the GGA-PBE level.

abc: 7.1977 10.3238 6.7920
angles: 90.00 90.00 90.00
Space group Pnma (No. 62)
Unique sites:
La (0.0100, 0.2500, 0.1339) x4
Pm (0.1886, 0.0528, 0.6719) x8
Au (0.1081, 0.7500, 0.4253) x4

The uncorrected energy comes out at -19.32 eV per formula unit. Its formation energy is -0.40 eV/atom. The calculation puts the magnetization at 0.00 μB/cell.

=====

Below is a relaxed structure of YHf2Ti, with properties calculated at the GGA-PBE level.

abc: 3.1835 3.1835 31.3982
angles: 90.00 90.00 120.00
Space group R-3m (No. 166, hexagonal axes)
Unique sites:
Y (0.0000, 0.0000, 0.0000) x3
Hf (0.0000, 0.0000, 0.2421) x6
Ti (0.0000, 0.0000, 0.5000) x3

The uncorrected energy comes out at -33.46 eV per formula unit. Its formation energy is 0.20 eV/atom. The calculation puts the magnetization at 0.00 μB/cell.